# 1
Computed, not measured: crystalline LiMgIr2 at its relaxed geometry at the GGA-PBE level of DFT.

Properties
- Energy of formation from the pure elements: -0.1203 eV per atom

Lattice parameters (Å, degrees): 3.7847 3.7847 4.0897 90.00 90.00 90.00
Last column: nearest neighbours and their distance in Å.
Space group P4/mmm (No. 123)
Symmetry-distinct sites (fractional):
Li  0.0000  0.0000  0.0000 [1 per cell]  4 Mg 2.68, 8 Ir 2.79
Mg  0.5000  0.5000  0.0000 [1 per cell]  4 Li 2.68, 8 Ir 2.79
Ir  0.0000  0.5000  0.5000 [2 per cell]  4 Ir 2.68, 4 Li 2.79, 4 Mg 2.79

# 2
Computed, not measured: crystalline YPaPd2O8 at its relaxed geometry at the GGA-PBE level of DFT.

Properties
- Energy relative to the elements, uncorrected: -1688 meV per atom

Lattice parameters (Å, degrees): 7.0836 7.0836 6.9519 90.00 90.00 90.00
Last column: nearest neighbours and their distance in Å.
Space group I-4m2 (No. 119)
Symmetry-distinct sites (fractional):
Y  0.0000  0.0000  0.0000 [2 per cell]  8 O 2.33-2.38
Pa  0.0000  0.5000  0.2500 [2 per cell]  8 O 2.27-2.32
Pd  0.0000  0.0000  0.5000 [2 per cell]  4 O 1.96
Pd  0.0000  0.5000  0.7500 [2 per cell]  4 O 1.95
O  0.0000  0.1822  0.2883 [8 per cell]  1 Pd 1.96
O  0.0000  0.3268  0.9675 [8 per cell]  1 Pd 1.95

# 3
Computed, not measured: crystalline Zn2TcOs at its relaxed geometry at the GGA-PBE level of DFT.

Properties
- Energy of formation from the pure elements: -0.0174 eV per atom
- Energy above the most stable polymorph in this dataset: 0.000 eV/atom

Lattice parameters (Å, degrees): 2.8665 2.8665 6.9741 90.00 90.00 90.00
Last column: nearest neighbours and their distance in Å.
Space group P4mm (No. 99)
Symmetry-distinct sites (fractional):
Zn  0.0000  0.0000  0.0000 [1 per cell]  8 Zn 2.67-2.87, 4 Tc 2.72
Zn  0.5000  0.5000  0.2493 [1 per cell]  8 Zn 2.67-2.87, 4 Os 2.70
Tc  0.5000  0.5000  0.7401 [1 per cell]  4 Os 2.60, 4 Zn 2.72, 4 Tc 2.87
Os  0.0000  0.0000  0.5056 [1 per cell]  4 Tc 2.60, 4 Zn 2.70, 4 Os 2.87

# 4
Computed, not measured: crystalline Zr3Hg2O at its relaxed geometry at the GGA-PBE level of DFT.

Properties
- Energy relative to the elements, uncorrected: -937 meV per atom

Lattice parameters (Å, degrees): 7.5899 7.5899 7.5899 90.00 90.00 90.00
Last column: nearest neighbours and their distance in Å.
Space group P4_132 (No. 213)
Symmetry-distinct sites (fractional):
Zr  0.0414  0.1250  0.7914 [12 per cell]  2 O 2.37
Hg  0.0646  0.9354  0.4354 [8 per cell]  3 Hg 2.84, 3 Zr 3.07
O  0.1250  0.3750  0.6250 [4 per cell]  6 Zr 2.37

# 5
Computed, not measured: crystalline CaFeAs2Ru at its relaxed geometry at the GGA-PBE level of DFT.

Properties
- Energy of formation from the pure elements: -0.5666 eV per atom

Lattice parameters (Å, degrees): 4.1065 4.1065 10.4545 90.00 90.00 90.00
Last column: nearest neighbours and their distance in Å.
Space group I-4m2 (No. 119)
Symmetry-distinct sites (fractional):
Ca  0.0000  0.0000  0.0000 [2 per cell]  8 As 3.23, 4 Fe 3.32, 4 Ru 3.32
Fe  0.0000  0.5000  0.2500 [2 per cell]  4 As 2.38
As  0.0000  0.0000  0.3656 [4 per cell]  2 Fe 2.38, 2 Ru 2.38
Ru  0.0000  0.5000  0.7500 [2 per cell]  4 As 2.38

# 6
Computed, not measured: crystalline GaAs2HBr at its relaxed geometry at the GGA-PBE level of DFT.

Properties
- Energy above the most stable polymorph in this dataset: 0.000 eV/atom

Lattice parameters (Å, degrees): 3.9741 3.9741 7.3248 90.00 90.00 90.00
Last column: nearest neighbours and their distance in Å.
Space group P4/mmm (No. 123)
Symmetry-distinct sites (fractional):
Ga  0.0000  0.0000  0.0000 [1 per cell]  4 Br 2.81
As  0.0000  0.5000  0.5000 [2 per cell]  2 H 1.99
H  0.5000  0.5000  0.5000 [1 per cell]  4 As 1.99
Br  0.5000  0.5000  0.0000 [1 per cell]  4 Ga 2.81

Number 1: E_tot -0.199 Ha/atom. Number 2: E_tot -0.264 Ha/atom. Number 3: E_tot -0.222 Ha/atom. Number 4: E_tot -0.226 Ha/atom. Number 5: E_tot -0.234 Ha/atom. Number 6: E_tot -0.114 Ha/atom.